1.
# Tb2FeBr PBE optimized geometry
# - Total magnetic moment: 0.207 μB per atom
# - Formation energy from raw total energies: -188.3 kJ/mol of formula units
data_Tb2FeBr
_cell_length_a 3.8053
_cell_length_b 3.8053
_cell_length_c 23.6638
_cell_angle_alpha 90.00
_cell_angle_beta 90.00
_cell_angle_gamma 120.00
_space_group_name_H-M_alt 'R -3 m'
_space_group_IT_number 166
_space_group_name_Hall '-R 3 2"'
loop_
_atom_site_label
_atom_site_type_symbol
_atom_site_fract_x
_atom_site_fract_y
_atom_site_fract_z
Tb1 Tb 0.0000 0.0000 0.2339
Fe1 Fe 0.0000 0.0000 0.5000
Br1 Br 0.0000 0.0000 0.0000


2.
# Tb4FeBr5 PBE optimized geometry
# - Total magnetic moment: 0.022 μB per atom
# - Formation energy from raw total energies: -1226.9 kJ/mol of formula units
data_Tb4FeBr5
_cell_length_a 18.040
_cell_length_b 3.903
_cell_length_c 8.896
_cell_angle_alpha 90.00
_cell_angle_beta 104.15
_cell_angle_gamma 90.00
_space_group_name_H-M_alt 'C 1 2/m 1'
_space_group_IT_number 12
loop_
_space_group_symop_operation_xyz
'x,y,z'
'-x,-y,-z'
'-x,y,-z'
'x,-y,z'
'x+1/2,y+1/2,z'
'-x+1/2,-y+1/2,-z'
'-x+1/2,y+1/2,-z'
'x+1/2,-y+1/2,z'
loop_
_atom_site_label
_atom_site_type_symbol
_atom_site_fract_x
_atom_site_fract_y
_atom_site_fract_z
Tb1 Tb 0.000 0.000 0.226
Tb2 Tb 0.138 0.500 0.073
Fe1 Fe 0.000 0.500 0.000
Br1 Br 0.000 0.500 0.500
Br2 Br 0.167 0.000 0.326
Br3 Br 0.172 0.000 0.846


3.
# TbFe2Br8 PBE optimized geometry
# - Total magnetic moment: 0.818 μB per atom
# - Formation energy from raw total energies: -1013.1 kJ/mol of formula units
data_TbFe2Br8
_cell_length_a 12.744
_cell_length_b 10.286
_cell_length_c 6.580
_cell_angle_alpha 90.00
_cell_angle_beta 94.75
_cell_angle_gamma 90.00
_space_group_name_H-M_alt 'C 1 2/m 1'
_space_group_IT_number 12
loop_
_space_group_symop_operation_xyz
'x,y,z'
'-x,-y,-z'
'-x,y,-z'
'x,-y,z'
'x+1/2,y+1/2,z'
'-x+1/2,-y+1/2,-z'
'-x+1/2,y+1/2,-z'
'x+1/2,-y+1/2,z'
loop_
_atom_site_label
_atom_site_type_symbol
_atom_site_fract_x
_atom_site_fract_y
_atom_site_fract_z
Tb1 Tb 0.000 0.000 0.000
Fe1 Fe 0.195 0.000 0.647
Br1 Br 0.098 0.187 0.767
Br2 Br 0.132 0.500 0.226
Br3 Br 0.186 0.000 0.277


4.
# Tb7FeBr12 PBE optimized geometry
# - Total magnetic moment: 0.052 μB per atom
# - Formation energy from raw total energies: -2984.7 kJ/mol of formula units
data_Tb7FeBr12
_cell_length_a 14.8162
_cell_length_b 14.8162
_cell_length_c 10.4185
_cell_angle_alpha 90.00
_cell_angle_beta 90.00
_cell_angle_gamma 120.00
_space_group_name_H-M_alt 'R -3'
_space_group_IT_number 148
_space_group_name_Hall '-R 3'
loop_
_atom_site_label
_atom_site_type_symbol
_atom_site_fract_x
_atom_site_fract_y
_atom_site_fract_z
Tb1 Tb 0.0000 0.0000 0.0000
Tb2 Tb 0.0417 0.8802 0.3604
Fe1 Fe 0.0000 0.0000 0.5000
Br1 Br 0.0214 0.4364 0.1571
Br2 Br 0.0460 0.8754 0.8371


5.
# Fe2TcBr PBE optimized geometry
# - Total magnetic moment: 1.243 μB per atom
# - Polymorph energy (0 for the lowest one): 0.3787 eV per atom
# - Formation energy from raw total energies: 306.5 kJ/mol of formula units
data_Fe2TcBr
_cell_length_a 2.927
_cell_length_b 4.396
_cell_length_c 8.883
_cell_angle_alpha 90.00
_cell_angle_beta 90.00
_cell_angle_gamma 90.00
_space_group_name_H-M_alt 'I m m m'
_space_group_IT_number 71
_space_group_name_Hall '-I 2 2'
loop_
_atom_site_label
_atom_site_type_symbol
_atom_site_fract_x
_atom_site_fract_y
_atom_site_fract_z
Fe1 Fe 0.000 0.000 0.245
Tc1 Tc 0.000 0.500 0.000
Br1 Br 0.000 0.500 0.500


6.
# Fe2TcBr PBE optimized geometry
# - Total magnetic moment: 0.490 μB per atom
# - Polymorph energy (0 for the lowest one): 0.6144 eV per atom
# - Formation energy from raw total energies: 397.4 kJ/mol of formula units
data_Fe2TcBr
_cell_length_a 5.645
_cell_length_b 5.645
_cell_length_c 9.380
_cell_angle_alpha 90.00
_cell_angle_beta 90.00
_cell_angle_gamma 90.00
_space_group_name_H-M_alt 'I -4 2 d'
_space_group_IT_number 122
_space_group_name_Hall 'I -4 2bw'
loop_
_atom_site_label
_atom_site_type_symbol
_atom_site_fract_x
_atom_site_fract_y
_atom_site_fract_z
Fe1 Fe 0.234 0.250 0.125
Tc1 Tc 0.000 0.000 0.000
Br1 Br 0.000 0.000 0.500


7.
# Fe2TcBr PBE optimized geometry
# - Total magnetic moment: 1.312 μB per atom
# - Polymorph energy (0 for the lowest one): 0.1533 eV per atom
# - Formation energy from raw total energies: 219.5 kJ/mol of formula units
data_Fe2TcBr
_cell_length_a 2.971
_cell_length_b 2.971
_cell_length_c 6.938
_cell_angle_alpha 90.00
_cell_angle_beta 90.00
_cell_angle_gamma 90.00
_space_group_name_H-M_alt 'P 4/m m m'
_space_group_IT_number 123
_space_group_name_Hall '-P 4 2'
loop_
_atom_site_label
_atom_site_type_symbol
_atom_site_fract_x
_atom_site_fract_y
_atom_site_fract_z
Fe1 Fe 0.000 0.000 0.223
Tc1 Tc 0.500 0.500 0.000
Br1 Br 0.500 0.500 0.500


8.
# Fe2TcBr PBE optimized geometry
# - Total magnetic moment: 1.475 μB per atom
# - Polymorph energy (0 for the lowest one): 0.5245 eV per atom
# - Formation energy from raw total energies: 362.7 kJ/mol of formula units
data_Fe2TcBr
_cell_length_a 3.737
_cell_length_b 3.737
_cell_length_c 8.374
_cell_angle_alpha 90.00
_cell_angle_beta 90.00
_cell_angle_gamma 90.00
_space_group_name_H-M_alt 'I -4 m 2'
_space_group_IT_number 119
_space_group_name_Hall 'I -4 -2'
loop_
_atom_site_label
_atom_site_type_symbol
_atom_site_fract_x
_atom_site_fract_y
_atom_site_fract_z
Fe1 Fe 0.000 0.000 0.000
Fe2 Fe 0.000 0.500 0.250
Tc1 Tc 0.000 0.500 0.750
Br1 Br 0.000 0.000 0.500


9.
# Fe2TcBr PBE optimized geometry
# - Total magnetic moment: 1.454 μB per atom
# - Polymorph energy (0 for the lowest one): 0.1530 eV per atom
# - Formation energy from raw total energies: 219.4 kJ/mol of formula units
data_Fe2TcBr
_cell_length_a 2.9801
_cell_length_b 2.9801
_cell_length_c 23.9954
_cell_angle_alpha 90.00
_cell_angle_beta 90.00
_cell_angle_gamma 120.00
_space_group_name_H-M_alt 'R -3 m'
_space_group_IT_number 166
_space_group_name_Hall '-R 3 2"'
loop_
_atom_site_label
_atom_site_type_symbol
_atom_site_fract_x
_atom_site_fract_y
_atom_site_fract_z
Fe1 Fe 0.0000 0.0000 0.2462
Tc1 Tc 0.0000 0.0000 0.5000
Br1 Br 0.0000 0.0000 0.0000


10.
# FeTcBr3 PBE optimized geometry
# - Total magnetic moment: 1.684 μB per atom
# - Polymorph energy (0 for the lowest one): 0.0000 eV per atom
# - Formation energy from raw total energies: 322.3 kJ/mol of formula units
data_FeTcBr3
_cell_length_a 5.095
_cell_length_b 5.095
_cell_length_c 5.095
_cell_angle_alpha 90.00
_cell_angle_beta 90.00
_cell_angle_gamma 90.00
_space_group_name_H-M_alt 'P m -3 m'
_space_group_IT_number 221
_space_group_name_Hall '-P 4 2 3'
loop_
_atom_site_label
_atom_site_type_symbol
_atom_site_fract_x
_atom_site_fract_y
_atom_site_fract_z
Fe1 Fe 0.000 0.000 0.000
Tc1 Tc 0.500 0.500 0.500
Br1 Br 0.000 0.000 0.500


11.
# Fe2TcBr PBE optimized geometry
# - Total magnetic moment: 1.491 μB per atom
# - Polymorph energy (0 for the lowest one): 0.2264 eV per atom
# - Formation energy from raw total energies: 247.7 kJ/mol of formula units
data_Fe2TcBr
_cell_length_a 3.107
_cell_length_b 4.826
_cell_length_c 8.335
_cell_angle_alpha 90.00
_cell_angle_beta 90.00
_cell_angle_gamma 90.00
_space_group_name_H-M_alt 'C m m m'
_space_group_IT_number 65
_space_group_name_Hall '-C 2 2'
loop_
_atom_site_label
_atom_site_type_symbol
_atom_site_fract_x
_atom_site_fract_y
_atom_site_fract_z
Fe1 Fe 0.000 0.000 0.235
Tc1 Tc 0.000 0.500 0.000
Br1 Br 0.000 0.500 0.500


12.
# Fe2TcBr PBE optimized geometry
# - Total magnetic moment: 1.477 μB per atom
# - Polymorph energy (0 for the lowest one): 0.3836 eV per atom
# - Formation energy from raw total energies: 308.4 kJ/mol of formula units
data_Fe2TcBr
_cell_length_a 2.976
_cell_length_b 4.466
_cell_length_c 8.894
_cell_angle_alpha 90.00
_cell_angle_beta 90.00
_cell_angle_gamma 90.00
_space_group_name_H-M_alt 'I m m 2'
_space_group_IT_number 44
loop_
_space_group_symop_operation_xyz
'x,y,z'
'-x,-y,z'
'-x,y,z'
'x,-y,z'
'x+1/2,y+1/2,z+1/2'
'-x+1/2,-y+1/2,z+1/2'
'-x+1/2,y+1/2,z+1/2'
'x+1/2,-y+1/2,z+1/2'
loop_
_atom_site_label
_atom_site_type_symbol
_atom_site_fract_x
_atom_site_fract_y
_atom_site_fract_z
Fe1 Fe 0.000 0.000 0.000
Fe2 Fe 0.000 0.500 0.264
Tc1 Tc 0.000 0.500 0.755
Br1 Br 0.000 0.000 0.496